Arrangement one

! PBE-GGA ReCSeBr2, optimized geometry; values from VASP
! **Symmetry**: P4/mmm, No. 123
! **DOS at the Fermi energy**: 1.23 states/eV per atom
&SYSTEM
  ibrav = 0, nat = 5, ntyp = 4
/
ATOMIC_SPECIES
Re 186.21 Re.upf
C 12.01 C.upf
Se 78.96 Se.upf
Br 79.90 Br.upf
CELL_PARAMETERS angstrom
5.176 0.000 0.000
0.000 5.176 0.000
0.000 0.000 4.749
ATOMIC_POSITIONS crystal
Re 0.000 0.000 0.000
C 0.500 0.500 0.500
Se 0.000 0.000 0.500
Br 0.000 0.500 0.000
Br 0.500 0.000 0.000

***

Arrangement two

! PBE-GGA ReCSeBr2, optimized geometry; values from VASP
! **Symmetry**: P4/mmm, No. 123
! **DOS at the Fermi energy**: 0.77 states/eV per atom
&SYSTEM
  ibrav = 0, nat = 5, ntyp = 4
/
ATOMIC_SPECIES
Re 186.21 Re.upf
C 12.01 C.upf
Se 78.96 Se.upf
Br 79.90 Br.upf
CELL_PARAMETERS angstrom
4.401 0.000 0.000
0.000 4.401 0.000
0.000 0.000 4.365
ATOMIC_POSITIONS crystal
Re 0.500 0.500 0.500
C 0.000 0.000 0.000
Se 0.000 0.000 0.500
Br 0.000 0.500 0.000
Br 0.500 0.000 0.000

***

Least stable of them? arrangement two.